{"formula": "CeCdAu", "functional": "PBE-GGA", "state": "optimized geometry", "lattice": [[14.091, 0.000, 0.000], [0.000, 3.938, 0.000], [0.000, 0.000, 7.970]], "species": ["Ce", "Ce", "Ce", "Ce", "Ce", "Ce", "Cd", "Cd", "Cd", "Cd", "Cd", "Cd", "Au", "Au", "Au", "Au", "Au", "Au"], "fractional_positions": [[0.050, 0.000, 0.237], [0.250, 0.000, 0.838], [0.450, 0.000, 0.237], [0.550, 0.000, 0.763], [0.750, 0.000, 0.162], [0.950, 0.000, 0.763], [0.111, 0.500, 0.566], [0.250, 0.500, 0.184], [0.389, 0.500, 0.566], [0.611, 0.500, 0.434], [0.750, 0.500, 0.816], [0.889, 0.500, 0.434], [0.095, 0.500, 0.937], [0.250, 0.000, 0.446], [0.405, 0.500, 0.937], [0.595, 0.500, 0.063], [0.750, 0.000, 0.554], [0.905, 0.500, 0.063]], "magnetic_moment_mub_per_fu": 0.81, "spacegroup": "Pmma, No. 51", "formation_energy_ev_per_atom": -0.51}